[1]
Crystalline HoMoH at its relaxed geometry. Source: the Alexandria database, functional GGA-PBE.

For the total magnetization, the calculation gives 0.000 μB/atom. The energy is -75.477 eV/cell. The theoretical density comes out at 8.76 Mg/m³. As for the crystal system: monoclinic.

The space group is C2/m (No. 12) and the conventional cell measures 11.860, 3.599 and 4.717 Å, with angles of 90.00, 99.57 and 90.00 degrees. The inequivalent atoms are Ho at (0.143, 0.000, 0.221), Mo at (0.069, 0.500, 0.696) and H at (0.188, 0.500, 0.502).

=====

[2]
Crystalline Ho6HN5 at its relaxed geometry. Source: the Alexandria database, functional GGA-PBE.

For the total magnetization, the calculation gives 0.000 μB/atom. The energy is -181.903 eV/cell. The theoretical density comes out at 10.08 Mg/m³. As for the crystal system: monoclinic.

The space group is C2/m (No. 12) and the conventional cell measures 5.987, 10.353 and 5.985 Å, with angles of 90.00, 109.62 and 90.00 degrees. The inequivalent atoms are Ho at (0.237, 0.000, 0.264), Ho at (0.239, 0.176, 0.745), H at (0.000, 0.500, 0.000), N at (0.000, 0.000, 0.500), N at (0.000, 0.167, 0.000) and N at (0.000, 0.332, 0.500).

=====

[3]
Crystalline Ho4HN3 at its relaxed geometry. Source: the Alexandria database, functional GGA-PBE.

For the total magnetization, the calculation gives 0.000 μB/atom. The energy is -115.586 eV/cell. The theoretical density comes out at 10.05 Mg/m³. As for the crystal system: orthorhombic.

The space group is Cmmm (No. 65) and the conventional cell measures 6.970, 9.646 and 3.455 Å, with angles of 90.00, 90.00 and 90.00 degrees. The inequivalent atoms are Ho at (0.000, 0.245, 0.000), Ho at (0.234, 0.000, 0.500), H at (0.000, 0.500, 0.000), N at (0.000, 0.000, 0.000) and N at (0.250, 0.250, 0.500).